The following is a DFT calculation (PBE-GGA) of a geometry-optimized TiFeMoOs structure.

CIF file:
```
data_TiFeMoOs
_chemical_formula_sum 'Ti4 Fe4 Mo4 Os4'
_cell_length_a 6.1366
_cell_length_b 6.1366
_cell_length_c 6.1366
_cell_angle_alpha 90.00
_cell_angle_beta 90.00
_cell_angle_gamma 90.00
_space_group_name_H-M_alt 'F -4 3 m'
_space_group_IT_number 216
_space_group_name_Hall 'F -4 2 3'
loop_
_atom_site_label
_atom_site_type_symbol
_atom_site_fract_x
_atom_site_fract_y
_atom_site_fract_z
_atom_site_occupancy
Ti1 Ti 0.0000 0.0000 0.0000 1
Fe1 Fe 0.2500 0.2500 0.2500 1
Mo1 Mo 0.0000 0.0000 0.5000 1
Os1 Os 0.2500 0.2500 0.7500 1
```

Calculated values
uncorrected energy: -9.790 eV/atom
DOS(E_F): 11.33 states/eV per cell
magnetization: 6.81 Bohr magnetons per cell